# 1
A relaxed structure of PmPuCoO6, computed with PBE+U.

Cell lengths 5.2039, 5.1788, 5.1788 Å; angles 120.00, 90.00, 90.00 degrees
Last column: magnetic moment on the atom in μB.
Fractional positions:
Pu: 0.5000 0.6667 0.3333  2.43
O: 0.2853 0.9847 0.6854  -0.08
O: 0.7147 0.3146 0.0153  -0.08
O: 0.7147 0.7007 0.6854  -0.08
O: 0.2853 0.3146 0.2993  -0.08
O: 0.7147 0.9847 0.2993  -0.08
O: 0.2853 0.7007 0.0153  -0.08
Pm: 0.0000 0.3333 0.6667  -0.01
Co: 0.5000 0.0000 0.0000  0.07

Output
- Space group: P312, No. 149
- VASP energy: -74.85 eV for the cell shown
- Mass density: 7.47 g cm⁻³



# 2
A relaxed structure of Rb4Pm3CoO8, computed with PBE+U.

Cell lengths 7.2174, 7.7271, 7.0402 Å; angles 116.82, 120.84, 90.00 degrees
Last column: magnetic moment on the atom in μB.
Fractional positions:
O: 0.1873 0.6518 0.3746  0.20
O: 0.7209 0.6904 0.9563  0.13
O: 0.7645 0.3096 0.0437  0.13
O: 0.2696 0.3192 0.5392  0.00
O: 0.2791 0.3096 0.0437  0.13
O: 0.8127 0.3482 0.6254  0.20
O: 0.7304 0.6808 0.4608  0.00
O: 0.2355 0.6904 0.9563  0.13
Rb: 0.5000 0.0000 0.0000  0.01
Rb: 0.0000 0.0000 0.0000  0.00
Rb: 0.0000 0.0000 0.5000  0.00
Rb: 0.5000 0.0000 0.5000  0.00
Pm: 0.5000 0.5000 0.0000  0.00
Pm: 0.5000 0.5000 0.5000  0.01
Pm: 0.0000 0.5000 0.5000  0.01
Co: 0.0000 0.5000 0.0000  2.99

Output
- Space group: C2/m, No. 12
- VASP energy: -96.75 eV for the cell shown
- Mass density: 5.58 g cm⁻³



# 3
A relaxed structure of RbPm2CoO4, computed with PBE+U.

Cell lengths 3.5913, 6.3582, 12.1797 Å; angles 90.00, 90.00, 106.40 degrees
Last column: magnetic moment on the atom in μB.
Fractional positions:
Co: 0.1868 0.3736 0.2500  1.94
Co: 0.8132 0.6264 0.7500  1.94
O: 0.2526 0.5051 0.0978  0.01
O: 0.0000 0.0000 0.5000  0.00
O: 0.4098 0.8197 0.7500  0.04
O: 0.7474 0.4949 0.9022  0.01
O: 0.2526 0.5051 0.4022  0.01
O: 0.5902 0.1803 0.2500  0.04
O: 0.7474 0.4949 0.5978  0.01
O: 0.0000 0.0000 0.0000  0.00
Pm: 0.6329 0.2658 0.0605  -0.02
Pm: 0.6329 0.2658 0.4395  -0.02
Pm: 0.3671 0.7342 0.5605  -0.02
Pm: 0.3671 0.7342 0.9395  -0.02
Rb: 0.0894 0.1787 0.7500  0.01
Rb: 0.9106 0.8213 0.2500  0.01

Output
- Space group: Cmcm, No. 63
- VASP energy: -108.18 eV for the cell shown
- Mass density: 6.20 g cm⁻³



# 4
A relaxed structure of Rb2PmCo2O6, computed with PBE+U.

Cell lengths 6.2208, 6.2208, 6.9617 Å; angles 63.46, 63.46, 60.00 degrees
Last column: magnetic moment on the atom in μB.
Fractional positions:
O: 0.2529 0.2529 0.7604  0.41
O: 0.7471 0.2661 0.2396  0.41
O: 0.7471 0.7471 0.2396  0.41
O: 0.2661 0.7471 0.2396  0.41
O: 0.2529 0.7339 0.7604  0.41
O: 0.7339 0.2529 0.7604  0.41
Pm: 0.0000 0.0000 0.0000  0.10
Rb: 0.7804 0.7804 0.6587  0.00
Rb: 0.2196 0.2196 0.3413  0.00
Co: 0.4282 0.4282 0.7155  2.94
Co: 0.5718 0.5718 0.2845  2.94

Output
- Space group: R-3m, No. 166
- VASP energy: -64.03 eV for the cell shown
- Mass density: 4.40 g cm⁻³



# 5
A relaxed structure of RbPm2CoO5, computed with PBE+U.

Cell lengths 6.8230, 6.8230, 7.4727 Å; angles 117.16, 117.16, 90.00 degrees
Last column: magnetic moment on the atom in μB.
Fractional positions:
Pm: 0.6791 0.1791 0.0000  0.02
Pm: 0.3209 0.8209 0.0000  0.02
Pm: 0.1791 0.3209 0.0000  0.02
Pm: 0.8209 0.6791 0.0000  0.02
O: 0.4956 0.2669 0.2625  0.20
O: 0.5044 0.7331 0.7375  0.20
O: 0.2331 0.0044 0.7375  0.20
O: 0.2669 0.7669 0.2625  0.20
O: 0.5000 0.5000 0.0000  0.08
O: 0.7331 0.2331 0.7375  0.20
O: 0.0000 0.0000 0.0000  0.08
O: 0.7669 0.9956 0.2625  0.20
O: 0.0044 0.5044 0.7375  0.20
O: 0.9956 0.4956 0.2625  0.20
Rb: 0.2500 0.2500 0.5000  0.00
Rb: 0.7500 0.7500 0.5000  0.00
Co: 0.2500 0.7500 0.5000  2.91
Co: 0.7500 0.2500 0.5000  2.91

Output
- Space group: I4/mcm, No. 140
- VASP energy: -122.40 eV for the cell shown
- Mass density: 6.43 g cm⁻³



# 6
A relaxed structure of Rb3Pm3CoO8, computed with PBE+U.

Cell lengths 6.9747, 6.9747, 7.7438 Å; angles 116.77, 90.01, 120.00 degrees
Last column: magnetic moment on the atom in μB.
Fractional positions:
O: 0.2032 0.4064 0.6648  0.24
O: 0.7968 0.0383 0.3352  0.24
O: 0.7968 0.5936 0.3352  0.24
O: 0.7264 0.4527 0.6790  0.01
O: 0.2032 0.9617 0.6648  0.24
O: 0.2736 0.5473 0.3210  0.01
O: 0.7587 0.9618 0.6648  0.24
O: 0.2413 0.0382 0.3352  0.24
Co: 0.0000 0.0000 0.5000  3.17
Pm: 0.5000 0.0000 0.5000  0.01
Pm: 0.0000 0.5000 0.5000  0.01
Pm: 0.5000 0.5000 0.5000  0.01
Rb: 0.5000 0.5000 0.0000  0.00
Rb: 0.0000 0.0000 0.0000  0.00
Rb: 0.0000 0.5000 0.0000  0.00

Output
- Space group: R-3m, No. 166
- VASP energy: -93.77 eV for the cell shown
- Mass density: 5.23 g cm⁻³



# 7
A relaxed structure of RbPmCoO4, computed with PBE+U.

Cell lengths 5.6859, 5.9378, 8.3400 Å; angles 90.00, 117.18, 90.00 degrees
Last column: magnetic moment on the atom in μB.
Fractional positions:
O: 0.6351 0.2500 0.8023  0.44
O: 0.4369 0.7500 0.5505  0.43
O: 0.9651 0.5168 0.3108  0.32
O: 0.0349 0.0168 0.6892  0.32
O: 0.5631 0.2500 0.4495  0.43
O: 0.0349 0.4832 0.6892  0.32
O: 0.9651 0.9832 0.3108  0.32
O: 0.3649 0.7500 0.1977  0.44
Co: 0.1813 0.7500 0.3214  3.10
Co: 0.8187 0.2500 0.6786  3.10
Rb: 0.4099 0.2500 0.0862  0.01
Rb: 0.5901 0.7500 0.9138  0.01
Pm: 0.2172 0.2500 0.5300  0.02
Pm: 0.7828 0.7500 0.4700  0.02

Output
- Space group: P2_1/m, No. 11
- VASP energy: -87.46 eV for the cell shown
- Mass density: 4.69 g cm⁻³



# 8
A relaxed structure of Rb3Pm2CoO6, computed with PBE+U.

Cell lengths 6.0189, 6.0189, 6.8446 Å; angles 98.74, 98.74, 119.24 degrees
Last column: magnetic moment on the atom in μB.
Fractional positions:
Rb: 0.1629 0.8371 0.5000  0.00
Rb: 0.8371 0.1629 0.5000  0.00
Rb: 0.5000 0.5000 0.5000  0.01
Co: 0.0000 0.0000 0.0000  3.01
O: 0.7353 0.7353 0.1894  0.10
O: 0.3554 0.0572 0.1677  0.12
O: 0.9428 0.6446 0.8323  0.12
O: 0.0572 0.3554 0.1677  0.12
O: 0.2647 0.2647 0.8106  0.10
O: 0.6446 0.9428 0.8323  0.12
Pm: 0.3348 0.6652 0.0000  0.01
Pm: 0.6652 0.3348 0.0000  0.01

Output
- Space group: C2/m, No. 12
- VASP energy: -70.97 eV for the cell shown
- Mass density: 5.64 g cm⁻³